Record 1
InRhCl at its PBEsol-relaxed geometry, computed with SCAN.

Properties
Formation energy (no corrections) ... -12 meV/atom
Crystal system ... hexagonal

Lattice parameters (Å, degrees): 4.3442 4.3442 3.1633 90.00 90.00 120.00
Space group P-6m2 (No. 187)
Asymmetric unit:
In 0.0000 0.0000 0.0000 (multiplicity 1)
Rh 0.3333 0.6667 0.5000 (multiplicity 1)
Cl 0.6667 0.3333 0.5000 (multiplicity 1)

Record 2
InRhS2Cl at its PBEsol-relaxed geometry, computed with SCAN.

Properties
Relative energy among the computed polymorphs ... 0.000 eV per formula unit
Formation energy (no corrections) ... -105 meV/atom
Crystal system ... tetragonal

Lattice parameters (Å, degrees): 4.607 4.607 4.757 90.00 90.00 90.00
Space group P4/mmm (No. 123)
Asymmetric unit:
In 0.000 0.000 0.000 (multiplicity 1)
Rh 0.500 0.500 0.500 (multiplicity 1)
S 0.000 0.500 0.500 (multiplicity 2)
Cl 0.500 0.500 0.000 (multiplicity 1)

Record 3
In5S5Cl at its PBEsol-relaxed geometry, computed with SCAN.

Properties
Formation energy (no corrections) ... -717 meV/atom
Crystal system ... monoclinic

Lattice parameters (Å, degrees): 8.858 3.905 14.814 90.00 93.49 90.00
Space group P2_1/m (No. 11)
Asymmetric unit:
In 0.035 0.250 0.142 (multiplicity 2)
In 0.139 0.250 0.561 (multiplicity 2)
In 0.243 0.750 0.786 (multiplicity 2)
In 0.340 0.750 0.053 (multiplicity 2)
In 0.367 0.250 0.338 (multiplicity 2)
S 0.031 0.250 0.396 (multiplicity 2)
S 0.162 0.250 0.994 (multiplicity 2)
S 0.202 0.750 0.203 (multiplicity 2)
S 0.332 0.250 0.694 (multiplicity 2)
S 0.471 0.750 0.899 (multiplicity 2)
Cl 0.330 0.750 0.500 (multiplicity 2)

Record 4
InSCl2 at its PBEsol-relaxed geometry, computed with SCAN.

Properties
Formation energy (no corrections) ... 349 meV/atom
Crystal system ... trigonal

Lattice parameters (Å, degrees): 3.1661 3.1661 28.0623 90.00 90.00 120.00
Space group R-3m (No. 166, hexagonal axes)
Asymmetric unit:
In 0.0000 0.0000 0.0000 (multiplicity 3)
S 0.0000 0.0000 0.5000 (multiplicity 3)
Cl 0.0000 0.0000 0.0911 (multiplicity 6)

Record 5
InSCl3 at its PBEsol-relaxed geometry, computed with SCAN.

Properties
Formation energy (no corrections) ... -233 meV/atom
Crystal system ... cubic

Lattice parameters (Å, degrees): 4.907 4.907 4.907 90.00 90.00 90.00
Space group Pm-3m (No. 221)
Asymmetric unit:
In 0.000 0.000 0.000 (multiplicity 1)
S 0.500 0.500 0.500 (multiplicity 1)
Cl 0.000 0.500 0.500 (multiplicity 3)

Record 6
InSb2S4Cl at its PBEsol-relaxed geometry, computed with SCAN.

Properties
Formation energy (no corrections) ... -485 meV/atom
Crystal system ... monoclinic

Lattice parameters (Å, degrees): 12.163 3.830 8.179 90.00 114.01 90.00
Space group C2/m (No. 12)
Asymmetric unit:
In 0.000 0.000 0.000 (multiplicity 2)
Sb 0.205 0.000 0.723 (multiplicity 4)
S 0.130 0.500 0.946 (multiplicity 4)
S 0.165 0.000 0.324 (multiplicity 4)
Cl 0.000 0.500 0.500 (multiplicity 2)

Record 7
InSbSCl2 at its PBEsol-relaxed geometry, computed with SCAN.

Properties
Formation energy (no corrections) ... -480 meV/atom
Crystal system ... tetragonal

Lattice parameters (Å, degrees): 5.271 5.271 5.117 90.00 90.00 90.00
Space group P4/mmm (No. 123)
Asymmetric unit:
In 0.000 0.000 0.000 (multiplicity 1)
Sb 0.500 0.500 0.500 (multiplicity 1)
S 0.500 0.500 0.000 (multiplicity 1)
Cl 0.000 0.500 0.500 (multiplicity 2)

Record 8
ZrInSCl2 at its PBEsol-relaxed geometry, computed with SCAN.

Properties
Formation energy (no corrections) ... -192 meV/atom
Crystal system ... tetragonal

Lattice parameters (Å, degrees): 4.969 4.969 5.024 90.00 90.00 90.00
Space group P4/mmm (No. 123)
Asymmetric unit:
Zr 0.000 0.000 0.000 (multiplicity 1)
In 0.500 0.500 0.500 (multiplicity 1)
S 0.500 0.500 0.000 (multiplicity 1)
Cl 0.000 0.500 0.500 (multiplicity 2)

Record 9
InSbCl2 at its PBEsol-relaxed geometry, computed with SCAN.

Properties
Relative energy among the computed polymorphs ... 0.000 eV per formula unit
Formation energy (no corrections) ... -386 meV/atom
Crystal system ... orthorhombic

Lattice parameters (Å, degrees): 3.431 4.663 5.711 90.00 90.00 90.00
Space group Pmmm (No. 47)
Asymmetric unit:
In 0.000 0.000 0.000 (multiplicity 1)
Sb 0.500 0.000 0.500 (multiplicity 1)
Cl 0.000 0.500 0.500 (multiplicity 1)
Cl 0.500 0.500 0.000 (multiplicity 1)

Record 10
InSbCl2 at its PBEsol-relaxed geometry, computed with SCAN.

Properties
Relative energy among the computed polymorphs ... 0.253 eV per formula unit
Formation energy (no corrections) ... -323 meV/atom
Crystal system ... tetragonal

Lattice parameters (Å, degrees): 3.284 3.284 8.683 90.00 90.00 90.00
Space group P4/mmm (No. 123)
Asymmetric unit:
In 0.000 0.000 0.000 (multiplicity 1)
Sb 0.000 0.000 0.500 (multiplicity 1)
Cl 0.500 0.500 0.238 (multiplicity 2)

Record 11
InSbCl2 at its PBEsol-relaxed geometry, computed with SCAN.

Properties
Relative energy among the computed polymorphs ... 0.129 eV per formula unit
Formation energy (no corrections) ... -354 meV/atom
Crystal system ... orthorhombic

Lattice parameters (Å, degrees): 3.467 5.877 9.841 90.00 90.00 90.00
Space group Cmm2 (No. 35)
Asymmetric unit:
In 0.000 0.000 0.000 (multiplicity 2)
Sb 0.000 0.500 0.287 (multiplicity 2)
Cl 0.000 0.000 0.495 (multiplicity 2)
Cl 0.000 0.500 0.805 (multiplicity 2)

Record 12
InSbCl2 at its PBEsol-relaxed geometry, computed with SCAN.

Properties
Relative energy among the computed polymorphs ... 0.681 eV per formula unit
Formation energy (no corrections) ... -216 meV/atom
Crystal system ... tetragonal

Lattice parameters (Å, degrees): 4.558 4.558 4.413 90.00 90.00 90.00
Space group P4/mmm (No. 123)
Asymmetric unit:
In 0.000 0.000 0.000 (multiplicity 1)
Sb 0.500 0.500 0.000 (multiplicity 1)
Cl 0.000 0.500 0.500 (multiplicity 2)